No. 1
Crystalline Mg2SbW at its relaxed geometry. Source: Alexandria, functional PBEsol.

E_form (uncorrected) ... 402.6 meV per atom
DFT total energy ... -5.05 eV per atom

Structure (CIF):
```
data_Mg2SbW
_symmetry_space_group_name_H-M 'C m m m'
_symmetry_Int_Tables_number 65
_symmetry_space_group_name_Hall '-C 2 2'
_cell_length_a 5.6779
_cell_length_b 9.0602
_cell_length_c 2.9489
_cell_angle_alpha 90.00
_cell_angle_beta 90.00
_cell_angle_gamma 90.00
loop_
_atom_site_label
_atom_site_type_symbol
_atom_site_fract_x
_atom_site_fract_y
_atom_site_fract_z
_atom_site_occupancy
Mg1 Mg 0.2500 0.2500 0.0000 1
Sb1 Sb 0.0000 0.0000 0.5000 1
W1 W 0.0000 0.5000 0.5000 1
```

***

No. 2
Crystalline MgSbW2 at its relaxed geometry. Source: Alexandria, functional PBEsol.

E_form (uncorrected) ... 529.6 meV per atom
DFT total energy ... -7.94 eV per atom
E above lowest polymorph ... 33 meV/atom

Structure (CIF):
```
data_MgSbW2
_symmetry_space_group_name_H-M 'C 1 2/m 1'
_symmetry_Int_Tables_number 12
_cell_length_a 9.5318
_cell_length_b 3.1880
_cell_length_c 4.6892
_cell_angle_alpha 90.00
_cell_angle_beta 98.86
_cell_angle_gamma 90.00
loop_
_symmetry_equiv_pos_as_xyz
'x,y,z'
'-x,-y,-z'
'-x,y,-z'
'x,-y,z'
'x+1/2,y+1/2,z'
'-x+1/2,-y+1/2,-z'
'-x+1/2,y+1/2,-z'
'x+1/2,-y+1/2,z'
loop_
_atom_site_label
_atom_site_type_symbol
_atom_site_fract_x
_atom_site_fract_y
_atom_site_fract_z
_atom_site_occupancy
Mg1 Mg 0.0000 0.0000 0.0000 1
Sb1 Sb 0.0000 0.5000 0.5000 1
W1 W 0.2499 0.0000 0.7731 1
```

***

No. 3
Crystalline MgSbW2 at its relaxed geometry. Source: Alexandria, functional PBEsol.

E_form (uncorrected) ... 608.0 meV per atom
DFT total energy ... -7.86 eV per atom
E above lowest polymorph ... 112 meV/atom

Structure (CIF):
```
data_MgSbW2
_symmetry_space_group_name_H-M 'P 4/m m m'
_symmetry_Int_Tables_number 123
_symmetry_space_group_name_Hall '-P 4 2'
_cell_length_a 3.9354
_cell_length_b 3.9354
_cell_length_c 4.4360
_cell_angle_alpha 90.00
_cell_angle_beta 90.00
_cell_angle_gamma 90.00
loop_
_atom_site_label
_atom_site_type_symbol
_atom_site_fract_x
_atom_site_fract_y
_atom_site_fract_z
_atom_site_occupancy
Mg1 Mg 0.0000 0.0000 0.0000 1
Sb1 Sb 0.5000 0.5000 0.0000 1
W1 W 0.0000 0.5000 0.5000 1
```

***

No. 4
Crystalline Mg2SbW at its relaxed geometry. Source: Alexandria, functional PBEsol.

E_form (uncorrected) ... 396.9 meV per atom
DFT total energy ... -5.05 eV per atom

Structure (CIF):
```
data_Mg2SbW
_symmetry_space_group_name_H-M 'I 4/m m m'
_symmetry_Int_Tables_number 139
_symmetry_space_group_name_Hall '-I 4 2'
_cell_length_a 3.9767
_cell_length_b 3.9767
_cell_length_c 9.3880
_cell_angle_alpha 90.00
_cell_angle_beta 90.00
_cell_angle_gamma 90.00
loop_
_atom_site_label
_atom_site_type_symbol
_atom_site_fract_x
_atom_site_fract_y
_atom_site_fract_z
_atom_site_occupancy
Mg1 Mg 0.0000 0.5000 0.2500 1
Sb1 Sb 0.0000 0.0000 0.0000 1
W1 W 0.0000 0.0000 0.5000 1
```

***

No. 5
Crystalline MgSbW2 at its relaxed geometry. Source: Alexandria, functional PBEsol.

E_form (uncorrected) ... 496.3 meV per atom
DFT total energy ... -7.98 eV per atom
E above lowest polymorph ... 0 meV/atom

Structure (CIF):
```
data_MgSbW2
_symmetry_space_group_name_H-M 'C 1 m 1'
_symmetry_Int_Tables_number 8
_cell_length_a 9.6099
_cell_length_b 3.4021
_cell_length_c 4.6813
_cell_angle_alpha 90.00
_cell_angle_beta 112.58
_cell_angle_gamma 90.00
loop_
_symmetry_equiv_pos_as_xyz
'x,y,z'
'x,-y,z'
'x+1/2,y+1/2,z'
'x+1/2,-y+1/2,z'
loop_
_atom_site_label
_atom_site_type_symbol
_atom_site_fract_x
_atom_site_fract_y
_atom_site_fract_z
_atom_site_occupancy
Mg1 Mg 0.0000 0.0000 0.0000 1
Sb1 Sb 0.2677 0.5000 0.2851 1
W1 W 0.0252 0.5000 0.5229 1
W2 W 0.2395 0.0000 0.7612 1
```

***

No. 6
Crystalline Mg2SbW at its relaxed geometry. Source: Alexandria, functional PBEsol.

E_form (uncorrected) ... 841.2 meV per atom
DFT total energy ... -4.61 eV per atom

Structure (CIF):
```
data_Mg2SbW
_symmetry_space_group_name_H-M 'I -4 2 d'
_symmetry_Int_Tables_number 122
_symmetry_space_group_name_Hall 'I -4 2bw'
_cell_length_a 7.8900
_cell_length_b 7.8900
_cell_length_c 5.3827
_cell_angle_alpha 90.00
_cell_angle_beta 90.00
_cell_angle_gamma 90.00
loop_
_atom_site_label
_atom_site_type_symbol
_atom_site_fract_x
_atom_site_fract_y
_atom_site_fract_z
_atom_site_occupancy
Mg1 Mg 0.2412 0.2500 0.1250 1
Sb1 Sb 0.0000 0.0000 0.5000 1
W1 W 0.0000 0.0000 0.0000 1
```

***

No. 7
Crystalline YMg2Sb at its relaxed geometry. Source: Alexandria, functional PBEsol.

E_form (uncorrected) ... -386.6 meV per atom
DFT total energy ... -4.09 eV per atom

Structure (CIF):
```
data_YMg2Sb
_symmetry_space_group_name_H-M 'P 4 m m'
_symmetry_Int_Tables_number 99
_cell_length_a 3.9471
_cell_length_b 3.9471
_cell_length_c 6.3964
_cell_angle_alpha 90.00
_cell_angle_beta 90.00
_cell_angle_gamma 90.00
loop_
_symmetry_equiv_pos_as_xyz
'x,y,z'
'-y,x,z'
'-x,-y,z'
'y,-x,z'
'-x,y,z'
'y,x,z'
'x,-y,z'
'-y,-x,z'
loop_
_atom_site_label
_atom_site_type_symbol
_atom_site_fract_x
_atom_site_fract_y
_atom_site_fract_z
_atom_site_occupancy
Y1 Y 0.0000 0.0000 0.0000 1
Mg1 Mg 0.0000 0.0000 0.5106 1
Mg2 Mg 0.5000 0.5000 0.2929 1
Sb1 Sb 0.5000 0.5000 0.7845 1
```

***

No. 8
Crystalline YMgSb2 at its relaxed geometry. Source: Alexandria, functional PBEsol.

E_form (uncorrected) ... -594.7 meV per atom
DFT total energy ... -5.01 eV per atom

Structure (CIF):
```
data_YMgSb2
_symmetry_space_group_name_H-M 'P 4/m m m'
_symmetry_Int_Tables_number 123
_symmetry_space_group_name_Hall '-P 4 2'
_cell_length_a 3.9219
_cell_length_b 3.9219
_cell_length_c 6.4721
_cell_angle_alpha 90.00
_cell_angle_beta 90.00
_cell_angle_gamma 90.00
loop_
_atom_site_label
_atom_site_type_symbol
_atom_site_fract_x
_atom_site_fract_y
_atom_site_fract_z
_atom_site_occupancy
Y1 Y 0.0000 0.0000 0.0000 1
Mg1 Mg 0.0000 0.0000 0.5000 1
Sb1 Sb 0.5000 0.5000 0.2469 1
```

***

No. 9
Crystalline YMgSb at its relaxed geometry. Source: Alexandria, functional PBEsol.

E_form (uncorrected) ... -447.8 meV per atom
DFT total energy ... -4.81 eV per atom

Structure (CIF):
```
data_YMgSb
_symmetry_space_group_name_H-M 'I m m 2'
_symmetry_Int_Tables_number 44
_cell_length_a 3.4016
_cell_length_b 4.0449
_cell_length_c 10.8511
_cell_angle_alpha 90.00
_cell_angle_beta 90.00
_cell_angle_gamma 90.00
loop_
_symmetry_equiv_pos_as_xyz
'x,y,z'
'-x,-y,z'
'-x,y,z'
'x,-y,z'
'x+1/2,y+1/2,z+1/2'
'-x+1/2,-y+1/2,z+1/2'
'-x+1/2,y+1/2,z+1/2'
'x+1/2,-y+1/2,z+1/2'
loop_
_atom_site_label
_atom_site_type_symbol
_atom_site_fract_x
_atom_site_fract_y
_atom_site_fract_z
_atom_site_occupancy
Y1 Y 0.0000 0.0000 0.0000 1
Mg1 Mg 0.0000 0.0000 0.3123 1
Sb1 Sb 0.0000 0.0000 0.6712 1
```

***

No. 10
Crystalline YMg2Sb at its relaxed geometry. Source: Alexandria, functional PBEsol.

E_form (uncorrected) ... -52.6 meV per atom
DFT total energy ... -3.76 eV per atom

Structure (CIF):
```
data_YMg2Sb
_symmetry_space_group_name_H-M 'R -3 m'
_symmetry_Int_Tables_number 166
_symmetry_space_group_name_Hall '-R 3 2"'
_cell_length_a 3.3532
_cell_length_b 3.3532
_cell_length_c 31.4470
_cell_angle_alpha 90.00
_cell_angle_beta 90.00
_cell_angle_gamma 120.00
loop_
_atom_site_label
_atom_site_type_symbol
_atom_site_fract_x
_atom_site_fract_y
_atom_site_fract_z
_atom_site_occupancy
Y1 Y 0.0000 0.0000 0.0000 1
Mg1 Mg 0.0000 0.0000 0.2450 1
Sb1 Sb 0.0000 0.0000 0.5000 1
```

***

No. 11
Crystalline YMgSb2 at its relaxed geometry. Source: Alexandria, functional PBEsol.

E_form (uncorrected) ... -594.9 meV per atom
DFT total energy ... -5.01 eV per atom

Structure (CIF):
```
data_YMgSb2
_symmetry_space_group_name_H-M 'C 1 2/m 1'
_symmetry_Int_Tables_number 12
_cell_length_a 7.4342
_cell_length_b 4.3080
_cell_length_c 7.2946
_cell_angle_alpha 90.00
_cell_angle_beta 110.08
_cell_angle_gamma 90.00
loop_
_symmetry_equiv_pos_as_xyz
'x,y,z'
'-x,-y,-z'
'-x,y,-z'
'x,-y,z'
'x+1/2,y+1/2,z'
'-x+1/2,-y+1/2,-z'
'-x+1/2,y+1/2,-z'
'x+1/2,-y+1/2,z'
loop_
_atom_site_label
_atom_site_type_symbol
_atom_site_fract_x
_atom_site_fract_y
_atom_site_fract_z
_atom_site_occupancy
Y1 Y 0.0000 0.0000 0.0000 1
Mg1 Mg 0.0000 0.5000 0.5000 1
Sb1 Sb 0.2462 0.0000 0.7397 1
```

***

No. 12
Crystalline YMgSb2 at its relaxed geometry. Source: Alexandria, functional PBEsol.

E_form (uncorrected) ... -198.9 meV per atom
DFT total energy ... -4.61 eV per atom

Structure (CIF):
```
data_YMgSb2
_symmetry_space_group_name_H-M 'F -4 3 m'
_symmetry_Int_Tables_number 216
_symmetry_space_group_name_Hall 'F -4 2 3'
_cell_length_a 7.4248
_cell_length_b 7.4248
_cell_length_c 7.4248
_cell_angle_alpha 90.00
_cell_angle_beta 90.00
_cell_angle_gamma 90.00
loop_
_atom_site_label
_atom_site_type_symbol
_atom_site_fract_x
_atom_site_fract_y
_atom_site_fract_z
_atom_site_occupancy
Y1 Y 0.0000 0.0000 0.0000 1
Mg1 Mg 0.2500 0.2500 0.2500 1
Sb1 Sb 0.0000 0.0000 0.5000 1
Sb2 Sb 0.2500 0.2500 0.7500 1
```

***

No. 13
Crystalline YMg2Sb2 at its relaxed geometry. Source: Alexandria, functional PBEsol.

E_form (uncorrected) ... -467.1 meV per atom
DFT total energy ... -4.34 eV per atom

Structure (CIF):
```
data_YMg2Sb2
_symmetry_space_group_name_H-M 'I 4/m m m'
_symmetry_Int_Tables_number 139
_symmetry_space_group_name_Hall '-I 4 2'
_cell_length_a 4.1793
_cell_length_b 4.1793
_cell_length_c 14.3030
_cell_angle_alpha 90.00
_cell_angle_beta 90.00
_cell_angle_gamma 90.00
loop_
_atom_site_label
_atom_site_type_symbol
_atom_site_fract_x
_atom_site_fract_y
_atom_site_fract_z
_atom_site_occupancy
Y1 Y 0.0000 0.0000 0.0000 1
Mg1 Mg 0.0000 0.5000 0.2500 1
Sb1 Sb 0.0000 0.0000 0.3900 1
```

***

No. 14
Crystalline MgZnSb2 at its relaxed geometry. Source: Alexandria, functional PBEsol.

E_form (uncorrected) ... 5.8 meV per atom
DFT total energy ... -3.10 eV per atom
E above lowest polymorph ... 0 meV/atom

Structure (CIF):
```
data_MgZnSb2
_symmetry_space_group_name_H-M 'I m m m'
_symmetry_Int_Tables_number 71
_symmetry_space_group_name_Hall '-I 2 2'
_cell_length_a 4.0860
_cell_length_b 5.1581
_cell_length_c 8.5626
_cell_angle_alpha 90.00
_cell_angle_beta 90.00
_cell_angle_gamma 90.00
loop_
_atom_site_label
_atom_site_type_symbol
_atom_site_fract_x
_atom_site_fract_y
_atom_site_fract_z
_atom_site_occupancy
Mg1 Mg 0.0000 0.0000 0.0000 1
Zn1 Zn 0.0000 0.0000 0.5000 1
Sb1 Sb 0.0000 0.5000 0.2324 1
```

***

No. 15
Crystalline Mg2ZnSb2 at its relaxed geometry. Source: Alexandria, functional PBEsol.

E_form (uncorrected) ... -241.7 meV per atom
DFT total energy ... -3.07 eV per atom
E above lowest polymorph ... 0 meV/atom

Structure (CIF):
```
data_Mg2ZnSb2
_symmetry_space_group_name_H-M 'P 3 m 1'
_symmetry_Int_Tables_number 156
_cell_length_a 4.4165
_cell_length_b 4.4165
_cell_length_c 7.2087
_cell_angle_alpha 90.00
_cell_angle_beta 90.00
_cell_angle_gamma 120.00
loop_
_symmetry_equiv_pos_as_xyz
'x,y,z'
'-y,x-y,z'
'-x+y,-x,z'
'-y,-x,z'
'-x+y,y,z'
'x,x-y,z'
loop_
_atom_site_label
_atom_site_type_symbol
_atom_site_fract_x
_atom_site_fract_y
_atom_site_fract_z
_atom_site_occupancy
Mg1 Mg 0.0000 0.0000 0.0000 1
Mg2 Mg 0.3333 0.6667 0.6295 1
Zn1 Zn 0.6667 0.3333 0.3864 1
Sb1 Sb 0.3333 0.6667 0.2398 1
Sb2 Sb 0.6667 0.3333 0.7842 1
```